A relaxed structure of SrNiRh2. Source: the Alexandria database, functional PBE-GGA.

Cell: 4.362 4.362 4.278 Å, 90.00 90.00 107.63°
Element x y z (fractional)
Sr 0.000 0.000 0.000
Ni 0.500 0.500 0.000
Rh 0.318 0.682 0.500
Rh 0.682 0.318 0.500

Energy above the most stable polymorph in this dataset = 0.301 eV per atom
Raw total energy = -5.316 eV per atom
Calculated density = 7.539 g/cm3
Total moment = 0.28 μB/atom
ΔE_f = 0.225 eV/atom

A relaxed structure of KNaCd2Ni. Source: the Alexandria database, functional PBE-GGA.

Cell: 5.122 5.122 5.406 Å, 90.00 90.00 90.00°
Element x y z (fractional)
K 0.000 0.000 0.000
Na 0.500 0.500 0.000
Cd 0.000 0.500 0.500
Cd 0.500 0.000 0.500
Ni 0.500 0.500 0.500

Raw total energy = -1.940 eV per atom
Calculated density = 4.047 g/cm3
Total moment = 0.00 μB/atom
ΔE_f = 0.065 eV/atom

A relaxed structure of PmDyTm2In4. Source: the Alexandria database, functional PBE-GGA.

Cell: 9.233 9.233 9.233 Å, 33.47 33.47 33.47°
Element x y z (fractional)
Pm 0.000 0.000 0.000
Dy 0.500 0.500 0.500
Tm 0.250 0.250 0.250
Tm 0.750 0.750 0.750
In 0.126 0.126 0.126
In 0.376 0.376 0.376
In 0.624 0.624 0.624
In 0.874 0.874 0.874

Raw total energy = -4.107 eV per atom
Calculated density = 8.603 g/cm3
Total moment = 0.00 μB/atom
ΔE_f = -0.450 eV/atom

A relaxed structure of HoTh4Ni4. Source: the Alexandria database, functional PBE-GGA.

Cell: 8.580 8.580 5.788 Å, 90.00 90.00 90.00°
Element x y z (fractional)
Ho 0.250 0.250 0.250
Ho 0.750 0.750 0.750
Th 0.052 0.667 0.158
Th 0.167 0.948 0.658
Th 0.333 0.552 0.658
Th 0.448 0.833 0.158
Th 0.552 0.167 0.842
Th 0.667 0.448 0.342
Th 0.833 0.052 0.342
Th 0.948 0.333 0.842
Ni 0.029 0.625 0.637
Ni 0.125 0.971 0.137
Ni 0.375 0.529 0.137
Ni 0.471 0.875 0.637
Ni 0.529 0.125 0.363
Ni 0.625 0.471 0.863
Ni 0.875 0.029 0.863
Ni 0.971 0.375 0.363

Raw total energy = -6.650 eV per atom
Calculated density = 10.350 g/cm3
Total moment = 0.00 μB/atom
ΔE_f = -0.274 eV/atom

A relaxed structure of Rb2ScCd3F12. Source: the Alexandria database, functional PBE-GGA.

Cell: 8.004 8.004 8.004 Å, 58.74 58.74 58.74°
Element x y z (fractional)
Rb 0.117 0.117 0.117
Rb 0.883 0.883 0.883
Sc 0.500 0.500 0.500
Cd 0.000 0.500 0.500
Cd 0.500 0.000 0.500
Cd 0.500 0.500 0.000
F 0.163 0.163 0.580
F 0.163 0.580 0.163
F 0.195 0.567 0.567
F 0.420 0.837 0.837
F 0.433 0.433 0.805
F 0.433 0.805 0.433
F 0.567 0.195 0.567
F 0.567 0.567 0.195
F 0.580 0.163 0.163
F 0.805 0.433 0.433
F 0.837 0.420 0.837
F 0.837 0.837 0.420

Raw total energy = -4.452 eV per atom
Calculated density = 3.683 g/cm3
Total moment = 0.00 μB/atom
Uncorrected formation energy = -4503 kJ/mol of formula units

A relaxed structure of SrHoPtRh. Source: the Alexandria database, functional PBE-GGA.

Cell: 4.993 4.993 4.993 Å, 60.00 60.00 60.00°
Element x y z (fractional)
Sr 0.000 0.000 0.000
Ho 0.500 0.500 0.500
Pt 0.250 0.250 0.250
Rh 0.750 0.750 0.750

Raw total energy = -5.586 eV per atom
Calculated density = 10.385 g/cm3
Total moment = 0.00 μB/atom
ΔE_f = -0.673 eV/atom

A relaxed structure of Na3CaCl. Source: the Alexandria database, functional PBE-GGA.

Cell: 5.656 5.656 5.656 Å, 90.00 90.00 90.00°
Element x y z (fractional)
Na 0.000 0.000 0.500
Na 0.000 0.500 0.000
Na 0.500 0.000 0.000
Ca 0.500 0.500 0.500
Cl 0.000 0.000 0.000

Energy above the most stable polymorph in this dataset = 0.000 eV per atom
Raw total energy = -2.019 eV per atom
Calculated density = 1.326 g/cm3
Total moment = 0.04 μB/atom
Uncorrected formation energy = -221 kJ/mol of formula units

A relaxed structure of Ba4TlI4. Source: the Alexandria database, functional PBE-GGA.

Cell: 8.596 8.596 8.596 Å, 115.91 115.91 97.24°
Element x y z (fractional)
Ba 0.090 0.641 0.000
Ba 0.359 0.359 0.449
Ba 0.641 0.090 0.000
Ba 0.910 0.910 0.551
Tl 0.000 0.000 0.000
I 0.000 0.500 0.500
I 0.330 0.330 0.000
I 0.500 0.000 0.500
I 0.670 0.670 0.000

Raw total energy = -2.836 eV per atom
Calculated density = 4.431 g/cm3
Total moment = 0.00 μB/atom
Uncorrected formation energy = -894 kJ/mol of formula units

A relaxed structure of RbInIr3. Source: the Alexandria database, functional PBE-GGA.

Cell: 4.902 4.902 4.902 Å, 90.00 90.00 90.00°
Element x y z (fractional)
Rb 0.000 0.000 0.000
In 0.500 0.500 0.500
Ir 0.000 0.000 0.500
Ir 0.000 0.500 0.000
Ir 0.500 0.000 0.000

Energy above the most stable polymorph in this dataset = 1.204 eV per atom
Raw total energy = -3.102 eV per atom
Calculated density = 10.952 g/cm3
Total moment = 0.31 μB/atom
ΔE_f = 2.955 eV/atom

A relaxed structure of Tb2Dy2HoEr4. Source: the Alexandria database, functional PBE-GGA.

Cell: 9.394 9.394 9.435 Å, 115.27 115.27 21.79°
Element x y z (fractional)
Tb 0.148 0.148 0.165
Tb 0.852 0.852 0.835
Dy 0.334 0.334 0.499
Dy 0.666 0.666 0.501
Ho 0.000 0.000 0.500
Er 0.185 0.185 0.834
Er 0.481 0.481 0.167
Er 0.519 0.519 0.833
Er 0.815 0.815 0.166

Raw total energy = -4.589 eV per atom
Calculated density = 8.810 g/cm3
Total moment = 0.00 μB/atom
ΔE_f = -0.001 eV/atom

A relaxed structure of BiTeIN2. Source: the Alexandria database, functional PBE-GGA.

Cell: 4.264 4.264 7.561 Å, 90.00 90.00 90.00°
Element x y z (fractional)
Bi 0.000 0.000 0.000
Te 0.500 0.500 0.000
I 0.500 0.500 0.500
N 0.000 0.500 0.500
N 0.500 0.000 0.500

Energy above the most stable polymorph in this dataset = 0.265 eV per atom
Raw total energy = -3.306 eV per atom
Calculated density = 5.938 g/cm3
Total moment = 0.34 μB/atom
Uncorrected formation energy = 839 kJ/mol of formula units

A relaxed structure of ScBe2CoSi. Source: the Alexandria database, functional PBE-GGA.

Cell: 5.410 5.410 5.410 Å, 141.38 140.37 56.53°
Element x y z (fractional)
Sc 0.000 0.000 0.000
Be 0.617 0.617 0.000
Be 0.745 0.245 0.500
Co 0.240 0.740 0.500
Si 0.382 0.382 0.000

Raw total energy = -5.649 eV per atom
Calculated density = 3.984 g/cm3
Total moment = 0.00 μB/atom
Uncorrected formation energy = -186 kJ/mol of formula units

A relaxed structure of CrHOs. Source: the Alexandria database, functional PBE-GGA.

Cell: 2.708 2.708 3.835 Å, 90.00 90.00 90.00°
Element x y z (fractional)
Cr 0.000 0.000 0.000
H 0.500 0.500 0.964
Os 0.500 0.500 0.474

Energy above the most stable polymorph in this dataset = 0.072 eV per atom
Raw total energy = -7.981 eV per atom
Calculated density = 14.357 g/cm3
Total moment = 0.00 μB/atom

A relaxed structure of Rb2NaIrO4. Source: the Alexandria database, functional PBE-GGA.

Cell: 5.879 5.879 5.879 Å, 113.46 113.46 101.77°
Element x y z (fractional)
Rb 0.000 0.000 0.000
Rb 0.750 0.250 0.500
Na 0.250 0.750 0.500
Ir 0.500 0.500 0.000
O 0.288 0.392 0.606
O 0.318 0.712 0.104
O 0.608 0.214 0.896
O 0.786 0.682 0.394

Raw total energy = -5.147 eV per atom
Calculated density = 4.843 g/cm3
Total moment = 0.25 μB/atom
Uncorrected formation energy = -890 kJ/mol of formula units

A relaxed structure of NaIn2Bi2. Source: the Alexandria database, functional PBE-GGA.

Cell: 5.966 6.449 8.887 Å, 69.12 70.97 85.36°
Element x y z (fractional)
Na 0.000 0.000 0.249
Na 0.000 0.000 0.751
In 0.199 0.572 0.058
In 0.199 0.573 0.559
In 0.801 0.427 0.441
In 0.801 0.428 0.942
Bi 0.443 0.205 0.324
Bi 0.443 0.206 0.824
Bi 0.557 0.794 0.176
Bi 0.557 0.795 0.676

Energy above the most stable polymorph in this dataset = 0.001 eV per atom
Raw total energy = -2.998 eV per atom
Calculated density = 7.380 g/cm3
Total moment = 0.00 μB/atom
ΔE_f = -0.087 eV/atom

A relaxed structure of MgVN3. Source: the Alexandria database, functional PBE-GGA.

Cell: 3.834 3.834 3.834 Å, 90.00 90.00 90.00°
Element x y z (fractional)
Mg 0.000 0.000 0.000
V 0.500 0.500 0.500
N 0.000 0.000 0.500
N 0.000 0.500 0.000
N 0.500 0.000 0.000

Raw total energy = -5.541 eV per atom
Calculated density = 3.454 g/cm3
Total moment = 0.65 μB/atom
Uncorrected formation energy = 770 kJ/mol of formula units

A relaxed structure of CdIn2Te. Source: the Alexandria database, functional PBE-GGA.

Cell: 3.199 4.242 8.255 Å, 90.00 90.01 90.00°
Element x y z (fractional)
Cd 0.000 0.000 0.000
In 0.002 0.000 0.544
In 0.501 0.500 0.783
Te 0.005 0.500 0.269

Energy above the most stable polymorph in this dataset = 0.059 eV per atom
Raw total energy = -2.445 eV per atom
Calculated density = 6.963 g/cm3
Total moment = 0.00 μB/atom
Uncorrected formation energy = -24 kJ/mol of formula units

A relaxed structure of Y5Co4. Source: the Alexandria database, functional PBE-GGA.

Cell: 8.251 8.251 6.277 Å, 90.00 90.00 120.00°
Element x y z (fractional)
Y 0.000 0.267 0.250
Y 0.000 0.733 0.750
Y 0.267 0.000 0.250
Y 0.267 0.267 0.750
Y 0.333 0.667 0.000
Y 0.333 0.667 0.500
Y 0.667 0.333 0.000
Y 0.667 0.333 0.500
Y 0.733 0.000 0.750
Y 0.733 0.733 0.250
Co 0.000 0.000 0.000
Co 0.000 0.000 0.500
Co 0.000 0.389 0.750
Co 0.000 0.611 0.250
Co 0.389 0.000 0.750
Co 0.389 0.389 0.250
Co 0.611 0.000 0.250
Co 0.611 0.611 0.750

Energy above the most stable polymorph in this dataset = 0.158 eV per atom
Raw total energy = -6.757 eV per atom
Calculated density = 6.104 g/cm3
Total moment = 0.00 μB/atom
ΔE_f = -0.008 eV/atom

A relaxed structure of KTcRh2. Source: the Alexandria database, functional PBE-GGA.

Cell: 5.587 5.587 5.587 Å, 146.64 121.22 69.29°
Element x y z (fractional)
K 0.000 0.000 0.000
Tc 0.500 0.500 0.000
Rh 0.303 0.803 0.500
Rh 0.697 0.197 0.500

Energy above the most stable polymorph in this dataset = 0.609 eV per atom
Raw total energy = -5.599 eV per atom
Calculated density = 7.045 g/cm3
Total moment = 0.00 μB/atom
ΔE_f = 0.942 eV/atom

A relaxed structure of UTlN. Source: the Alexandria database, functional PBE-GGA.

Cell: 3.802 3.802 10.794 Å, 100.19 100.19 60.00°
Element x y z (fractional)
U 0.123 0.123 0.368
U 0.877 0.877 0.632
Tl 0.370 0.370 0.112
Tl 0.630 0.630 0.888
N 0.196 0.196 0.588
N 0.804 0.804 0.412

Raw total energy = -8.025 eV per atom
Calculated density = 11.461 g/cm3
Total moment = 0.72 μB/atom
Uncorrected formation energy = -202 kJ/mol of formula units